Entry w
Here is a relaxed structure of MgHgS2 from Alexandria via LeMat-Bulk. Energies are from PBE.

DOS at the Fermi energy = 0.37 states/eV/f.u.
magnetic moment = 0.0 μB/f.u.

abc: 7.9674 3.9543 13.4503
angles: 90.00 110.61 90.00
Space group P2_1/c (No. 14)
Unique sites:
Mg 0.1224 0.2384 0.4555
Hg 0.3730 0.0607 0.7573
S 0.0617 0.2478 0.6260
S 0.3746 0.6020 0.4536

Entry x
Here is a relaxed structure of MgHgS2 from Alexandria via LeMat-Bulk. Energies are from PBE.

DOS at the Fermi energy = 0.00 states/eV/f.u.
magnetic moment = 0.0 μB/f.u.

abc: 4.1582 4.1561 5.7594
angles: 90.00 90.00 90.00
Space group Pm (No. 6)
Unique sites:
Mg 0.0000 0.0000 0.0000
Hg 0.5015 0.5000 0.5002
S 0.0011 0.5000 0.2319
S 0.5002 0.0000 0.7686

Which structure is the least stable? The one labeled entry w.

Entry w
Here is a relaxed structure of MgHgS2 from Alexandria via LeMat-Bulk. Energies are from PBE.

DOS at the Fermi energy = 0.00 states/eV/f.u.
magnetic moment = 0.0 μB/f.u.

abc: 8.1686 4.2399 12.5528
angles: 90.00 104.60 90.00
Space group P2_1/c (No. 14)
Unique sites:
Mg 0.1204 0.2412 0.1276
Hg 0.4709 0.2337 0.1294
S 0.0545 0.2408 0.4106
S 0.2492 0.2425 0.3279

Entry x
Here is a relaxed structure of MgHgS2 from Alexandria via LeMat-Bulk. Energies are from PBE.

DOS at the Fermi energy = 0.00 states/eV/f.u.
magnetic moment = 0.0 μB/f.u.

abc: 7.0102 3.9477 12.7314
angles: 90.00 90.00 90.00
Space group Pnma (No. 62)
Unique sites:
Mg 0.1093 0.2500 0.1122
Hg 0.0895 0.7500 0.3817
S 0.0663 0.7500 0.7160
S 0.2074 0.7500 0.9969

Which structure is the least stable? The one labeled entry w.